# CdRe2Ni, PBEsol geometry, DFT meta-GGA SCAN
data_CdRe2Ni
_chemical_formula_sum 'Cd2 Re4 Ni2'
_space_group_name_H-M_alt 'C m m 2'
_space_group_IT_number 35
_space_group_name_Hall 'C 2 -2'
_cell_length_a 3.1953
_cell_length_b 4.2926
_cell_length_c 8.5791
_cell_angle_alpha 90.00
_cell_angle_beta 90.00
_cell_angle_gamma 90.00
loop_
_atom_site_label
_atom_site_fract_x
_atom_site_fract_y
_atom_site_fract_z
Cd1 0.0000 0.0000 0.0000
Re1 0.0000 0.0000 0.5341
Re2 0.0000 0.5000 0.2877
Ni1 0.0000 0.5000 0.7514
# Energy of formation: 0.322 eV per atom

***

# Cd2ReNi, PBEsol geometry, DFT meta-GGA SCAN
data_Cd2ReNi
_chemical_formula_sum 'Cd2 Re1 Ni1'
_space_group_name_H-M_alt 'P 4 m m'
_space_group_IT_number 99
_space_group_name_Hall 'P 4 -2'
_cell_length_a 2.8015
_cell_length_b 2.8015
_cell_length_c 8.0400
_cell_angle_alpha 90.00
_cell_angle_beta 90.00
_cell_angle_gamma 90.00
loop_
_atom_site_label
_atom_site_fract_x
_atom_site_fract_y
_atom_site_fract_z
Cd1 0.0000 0.0000 0.0000
Cd2 0.5000 0.5000 0.3031
Re1 0.5000 0.5000 0.7289
Ni1 0.0000 0.0000 0.5402
# Energy of formation: 0.238 eV per atom

***

The following is a DFT calculation (meta-GGA SCAN) of a PBEsol-optimized structure of CdRe2SiNi.

The structure in CIF format:
```
data_CdRe2SiNi
_chemical_formula_sum 'Cd1 Re2 Si1 Ni1'
_space_group_name_H-M_alt 'P 4/m m m'
_space_group_IT_number 123
_space_group_name_Hall '-P 4 2'
_cell_length_a 4.4454
_cell_length_b 4.4454
_cell_length_c 4.1453
_cell_angle_alpha 90.00
_cell_angle_beta 90.00
_cell_angle_gamma 90.00
loop_
_atom_site_label
_atom_site_fract_x
_atom_site_fract_y
_atom_site_fract_z
Cd1 0.0000 0.0000 0.0000
Re1 0.0000 0.5000 0.5000
Si1 0.5000 0.5000 0.5000
Ni1 0.5000 0.5000 0.0000
```

***

# CdNiRh2, PBEsol geometry, DFT meta-GGA SCAN
data_CdNiRh2
_chemical_formula_sum 'Cd2 Ni2 Rh4'
_space_group_name_H-M_alt 'I 4/m m m'
_space_group_IT_number 139
_space_group_name_Hall '-I 4 2'
_cell_length_a 3.8342
_cell_length_b 3.8342
_cell_length_c 7.6682
_cell_angle_alpha 90.00
_cell_angle_beta 90.00
_cell_angle_gamma 90.00
loop_
_atom_site_label
_atom_site_fract_x
_atom_site_fract_y
_atom_site_fract_z
Cd1 0.0000 0.0000 0.0000
Ni1 0.0000 0.0000 0.5000
Rh1 0.0000 0.5000 0.2500
# Energy of formation: 0.102 eV per atom

***

Number 1: VASP energy -374.99 eV for the cell shown. Number 2: VASP energy -147.15 eV for the cell shown. Number 3: VASP energy -193.51 eV for the cell shown. Number 4: VASP energy -227.44 eV for the cell shown.